[1]
Computed, not measured: a geometry-optimized Na3TlN structure at the GGA-PBE level of DFT.

Geometry as POSCAR:
```
Na3TlN
1.0
4.859 0.000 0.000
0.000 4.859 0.000
0.000 0.000 4.859
Na N Tl
3 1 1
Direct
0.000 0.000 0.500
0.000 0.500 0.000
0.500 0.000 0.000
0.000 0.000 0.000
0.500 0.500 0.500
```

Space-group type: Pm-3m
Energy relative to the elements, uncorrected: 0.276 eV per atom
ΔE to the lowest computed polymorph: 0.000 eV per atom

---

[2]
Computed, not measured: a geometry-optimized TbSm3Ag4 structure at the GGA-PBE level of DFT.

Geometry as POSCAR:
```
TbSm3Ag4
1.0
-1.413 3.255 1.012
-1.315 -1.531 3.090
12.639 3.304 7.015
Ag Sm Tb
4 3 1
Direct
0.000 0.000 0.881
0.000 0.000 0.119
0.000 0.000 0.626
0.000 0.000 0.374
0.500 0.500 0.500
0.500 0.500 0.248
0.500 0.500 0.752
0.500 0.500 0.000
```

Space-group type: P4/mmm
E_tot: -4.06 eV/atom

---

[3]
Computed, not measured: a geometry-optimized Nd4SiAs2Se structure at the GGA-PBE level of DFT.

Geometry as POSCAR:
```
Nd4SiAs2Se
1.0
4.251 0.000 0.000
0.000 7.388 -0.154
0.000 2.593 6.936
Nd As Se Si
4 2 1 1
Direct
0.500 0.249 0.748
0.500 0.751 0.252
0.000 0.754 0.742
0.000 0.246 0.258
0.500 0.000 0.500
0.000 0.000 0.000
0.500 0.500 0.000
0.000 0.500 0.500
```

Space-group type: P2/m
Energy relative to the elements, uncorrected: -1.411 eV per atom

---

[4]
Computed, not measured: a geometry-optimized AcPr6Y2Er structure at the GGA-PBE level of DFT.

Geometry as POSCAR:
```
AcPr6Y2Er
1.0
0.254 -4.821 -8.481
-3.423 -7.148 4.467
-6.049 6.042 -3.110
Pr Er Y Ac
12 2 4 2
Direct
0.557 0.759 0.116
0.116 0.707 0.479
0.683 0.000 0.549
0.183 0.549 0.000
0.616 0.479 0.707
0.057 0.116 0.759
0.384 0.521 0.293
0.884 0.293 0.521
0.317 0.000 0.451
0.443 0.241 0.884
0.943 0.884 0.241
0.817 0.451 0.000
0.250 0.413 0.587
0.750 0.587 0.413
0.051 0.308 0.209
0.949 0.692 0.791
0.449 0.791 0.692
0.551 0.209 0.308
0.250 0.965 0.035
0.750 0.035 0.965
```

Space-group type: C2/c
E_tot: -4.91 eV/atom

---

[5]
Computed, not measured: a geometry-optimized YTaHg structure at the GGA-PBE level of DFT.

Geometry as POSCAR:
```
YTaHg
1.0
-4.618 4.234 -3.691
-6.377 1.764 -3.013
-1.382 1.612 2.269
Y Hg Ta
1 1 1
Direct
0.670 0.670 0.330
0.993 0.993 0.007
0.338 0.338 0.662
```

Space-group type: I4mm
ΔE to the lowest computed polymorph: 0.000 eV per atom

---

[6]
Computed, not measured: a geometry-optimized MnZn2Se structure at the GGA-PBE level of DFT.

Geometry as POSCAR:
```
MnZn2Se
1.0
-4.179 -6.939 0.962
-3.413 -7.120 -2.047
-1.390 -8.037 0.130
Se Zn Mn
1 2 1
Direct
0.764 0.764 0.764
0.245 0.245 0.245
0.995 0.995 0.995
0.497 0.497 0.497
```

Space-group type: R3m
Energy relative to the elements, uncorrected: 0.051 eV per atom

---

[7]
Computed, not measured: a geometry-optimized NaPaBi structure at the GGA-PBE level of DFT.

Geometry as POSCAR:
```
NaPaBi
1.0
-0.407 -3.863 0.373
-0.358 -0.336 -3.871
13.005 0.670 0.707
Na Bi Pa
2 2 2
Direct
0.429 0.429 0.857
0.571 0.571 0.143
0.851 0.851 0.703
0.149 0.149 0.297
0.728 0.728 0.455
0.272 0.272 0.545
```

Space-group type: I4/mmm
ΔE to the lowest computed polymorph: 0.000 eV per atom

---

[8]
Computed, not measured: a geometry-optimized BaPu2Cd2O7 structure at the GGA-PBE level of DFT.

Geometry as POSCAR:
```
BaPu2Cd2O7
1.0
-1.880 1.969 -3.309
3.273 -1.504 -2.754
-6.137 -8.605 1.141
Pu O Cd Ba
2 7 2 1
Direct
0.607 0.607 0.213
0.393 0.393 0.787
0.394 0.894 0.788
0.903 0.403 0.807
0.500 0.500 0.000
0.723 0.723 0.447
0.277 0.277 0.553
0.606 0.106 0.212
0.097 0.597 0.193
0.273 0.773 0.546
0.727 0.227 0.454
0.000 0.000 0.000
```

Space-group type: Immm
Energy relative to the elements, uncorrected: -2.293 eV per atom

---

[9]
Computed, not measured: a geometry-optimized PuGa4CuPt2 structure at the GGA-PBE level of DFT.

Geometry as POSCAR:
```
PuGa4CuPt2
1.0
4.295 0.000 0.000
2.148 3.720 0.000
2.148 1.240 8.647
Pu Cu Ga Pt
1 1 4 2
Direct
0.000 0.000 0.000
0.500 0.500 0.500
0.398 0.398 0.806
0.602 0.602 0.194
0.869 0.869 0.394
0.131 0.131 0.606
0.762 0.762 0.713
0.238 0.238 0.287
```

Space-group type: R-3m
E_tot: -5.79 eV/atom

---

[10]
Computed, not measured: a geometry-optimized BaTlAg2O4 structure at the GGA-PBE level of DFT.

Geometry as POSCAR:
```
BaTlAg2O4
1.0
6.137 0.000 0.000
3.068 4.729 0.178
3.068 0.565 4.698
Ba O Tl Ag
1 4 1 2
Direct
0.000 0.000 0.000
0.495 0.103 0.505
0.898 0.505 0.103
0.102 0.897 0.495
0.505 0.495 0.897
0.500 0.500 0.500
0.248 0.252 0.252
0.752 0.748 0.748
```

Space-group type: I222
Energy relative to the elements, uncorrected: -0.901 eV per atom

---

[11]
Computed, not measured: a geometry-optimized TbSmPd4 structure at the GGA-PBE level of DFT.

Geometry as POSCAR:
```
TbSmPd4
1.0
4.137 0.000 -0.848
0.000 5.809 0.000
-0.099 0.000 10.033
Pd Sm Tb
8 2 2
Direct
0.146 0.490 0.292
0.854 0.990 0.708
0.000 0.500 0.000
0.573 0.250 0.145
0.427 0.750 0.855
0.000 0.000 0.000
0.146 0.010 0.292
0.854 0.510 0.708
0.276 0.750 0.553
0.724 0.250 0.447
0.577 0.750 0.153
0.423 0.250 0.847
```

Space-group type: Cmcm
ΔE to the lowest computed polymorph: 0.000 eV per atom

---

[12]
Computed, not measured: a geometry-optimized VCoI structure at the GGA-PBE level of DFT.

Geometry as POSCAR:
```
VCoI
1.0
-0.197 1.966 2.828
-2.610 -2.198 -0.758
4.754 -7.576 5.597
Co V I
2 2 2
Direct
0.722 0.445 0.385
0.722 0.445 0.615
0.391 0.782 0.500
0.490 0.979 0.000
0.171 0.342 0.818
0.171 0.342 0.182
```

Space-group type: Amm2
Energy relative to the elements, uncorrected: 0.528 eV per atom

---

[13]
Computed, not measured: a geometry-optimized TbMg7Cd5 structure at the GGA-PBE level of DFT.

Geometry as POSCAR:
```
TbMg7Cd5
1.0
5.458 0.000 2.242
2.737 7.061 1.102
0.047 0.002 7.653
Mg Cd Tb
7 5 1
Direct
0.285 0.215 0.215
0.648 0.352 0.352
0.999 0.651 0.350
0.503 0.209 0.786
0.999 0.350 0.651
0.503 0.786 0.209
0.346 0.654 0.654
0.706 0.794 0.794
0.003 0.000 0.493
0.504 0.493 0.000
0.003 0.493 0.000
0.504 0.000 0.493
0.998 0.002 0.002
```

Space-group type: Imm2
E_tot: -1.69 eV/atom

---

[14]
Computed, not measured: a geometry-optimized NaGe2Pt6 structure at the GGA-PBE level of DFT.

Geometry as POSCAR:
```
NaGe2Pt6
1.0
4.055 0.000 0.000
0.000 4.055 0.000
0.000 0.000 9.381
Pt Ge Na
6 2 1
Direct
0.000 0.500 0.285
0.500 0.500 0.500
0.500 0.000 0.285
0.000 0.500 0.715
0.000 0.000 0.500
0.500 0.000 0.715
0.500 0.500 0.135
0.500 0.500 0.865
0.000 0.000 0.000
```

Space-group type: P4/mmm
E_tot: -5.49 eV/atom

---

[15]
Computed, not measured: a geometry-optimized Dy2ScHg4 structure at the GGA-PBE level of DFT.

Geometry as POSCAR:
```
Dy2ScHg4
1.0
5.399 0.000 0.000
0.000 5.399 0.000
-2.700 -2.700 7.560
Dy Hg Sc
2 4 1
Direct
0.392 0.392 0.785
0.608 0.608 0.215
0.808 0.808 0.617
0.500 0.000 0.000
0.000 0.500 0.000
0.192 0.192 0.383
0.000 0.000 0.000
```

Space-group type: I4/mmm
ΔE to the lowest computed polymorph: 0.326 eV per atom

---

[16]
Computed, not measured: a geometry-optimized Ca2NbSiS structure at the GGA-PBE level of DFT.

Geometry as POSCAR:
```
Ca2NbSiS
1.0
5.174 0.000 0.000
0.000 4.681 0.000
0.000 0.000 5.174
Si S Nb Ca
1 1 1 2
Direct
0.500 0.500 0.500
0.000 0.000 0.000
0.000 0.500 0.000
0.000 0.000 0.500
0.500 0.000 0.000
```

Space-group type: P4/mmm
Energy relative to the elements, uncorrected: -0.230 eV per atom

---

[17]
Computed, not measured: a geometry-optimized Re2PtBr structure at the GGA-PBE level of DFT.

Geometry as POSCAR:
```
Re2PtBr
1.0
5.450 0.000 0.000
0.000 5.450 0.000
2.725 2.725 5.949
Pt Br Re
2 2 4
Direct
0.000 0.000 0.000
0.750 0.250 0.500
0.500 0.500 0.000
0.250 0.750 0.500
0.132 0.625 0.250
0.375 0.382 0.750
0.618 0.125 0.250
0.875 0.868 0.750
```

Space-group type: I-42d
Energy relative to the elements, uncorrected: 1.620 eV per atom
ΔE to the lowest computed polymorph: 1.238 eV per atom

---

[18]
Computed, not measured: a geometry-optimized Cs2PmNp2S7 structure at the GGA-PBE level of DFT.

Geometry as POSCAR:
```
Cs2PmNp2S7
1.0
5.159 -0.003 0.014
0.003 5.159 0.014
2.548 2.545 13.764
S Cs Np Pm
7 2 2 1
Direct
0.569 0.069 0.862
0.500 0.500 0.000
0.318 0.318 0.363
0.682 0.682 0.637
0.431 0.931 0.138
0.069 0.569 0.862
0.931 0.431 0.138
0.187 0.187 0.626
0.813 0.813 0.374
0.409 0.409 0.181
0.591 0.591 0.819
0.000 0.000 0.000
```

Space-group type: I4/mmm
Energy relative to the elements, uncorrected: -1.295 eV per atom

---

[19]
Computed, not measured: a geometry-optimized TaCuRu2F structure at the GGA-PBE level of DFT.

Geometry as POSCAR:
```
TaCuRu2F
1.0
4.479 0.000 0.000
0.000 4.648 0.000
0.000 0.000 4.479
Cu Ru Ta F
1 2 1 1
Direct
0.000 0.000 0.000
0.500 0.000 0.000
0.000 0.000 0.500
0.000 0.500 0.000
0.500 0.500 0.500
```

Space-group type: P4/mmm
Energy relative to the elements, uncorrected: 1.517 eV per atom

---

[20]
Computed, not measured: a geometry-optimized Zr2USn structure at the GGA-PBE level of DFT.

Geometry as POSCAR:
```
Zr2USn
1.0
3.669 0.000 0.000
0.000 3.669 0.000
0.000 0.000 6.687
Zr Sn U
2 1 1
Direct
0.000 0.000 0.247
0.000 0.000 0.753
0.500 0.500 0.500
0.500 0.500 0.000
```

Space-group type: P4/mmm
ΔE to the lowest computed polymorph: 0.093 eV per atom

---

no.,density (g/cm³)
1,4.16
2,8.56
3,6.31
4,6.52
5,11.67
6,6.59
7,7.92
8,8.09
9,11.74
10,7.60
11,10.14
12,7.11
13,5.03
14,14.41
15,8.83
16,3.09
17,12.17
18,5.03
19,8.29
20,9.95